DFT (PBE) results for crystalline CeAl4IrOs2 at its relaxed geometry.

Cell: 4.285 4.285 8.788 Å, 75.89 75.89 60.00°
Last column: magnetic moment on the atom in μB.
Fractional positions:
Al  0.868  0.868  0.396  0.00
Al  0.403  0.403  0.791  0.00
Al  0.597  0.597  0.209  0.00
Al  0.132  0.132  0.604  0.00
Ce  0.000  0.000  0.000  0.41
Os  0.241  0.241  0.277  -0.01
Os  0.759  0.759  0.723  -0.01
Ir  0.500  0.500  0.500  0.00

As for the formation energy: -3.9 eV/f.u. The calculation puts the total magnetization at 0.48 Bohr magnetons per cell. The final energy is -7.015 eV per atom.

---

DFT (PBE) results for crystalline Ce2Al6IrOs at its relaxed geometry.

Cell: 6.706 6.708 6.706 Å, 60.01 60.00 90.00°
Last column: magnetic moment on the atom in μB.
Fractional positions:
Al  0.250  0.250  0.000  0.01
Al  0.750  0.750  0.000  0.01
Al  0.750  0.250  0.000  0.01
Al  0.250  0.750  0.000  0.01
Al  0.750  0.750  0.499  0.01
Al  0.250  0.250  0.501  0.01
Ce  0.250  0.750  0.500  1.06
Ce  0.750  0.250  0.500  1.06
Os  0.000  0.000  0.000  0.05
Ir  0.500  0.500  0.000  0.05

As for the formation energy: -3.6 eV/f.u. The calculation puts the total magnetization at 2.76 Bohr magnetons per cell. The final energy is -5.798 eV per atom.

---

DFT (PBE) results for crystalline Ce2AlP3Ir4 at its relaxed geometry.

Cell: 4.066 4.066 10.174 Å, 90.00 90.00 90.00°
Fractional positions:
P  0.500  0.000  0.865
P  0.000  0.000  0.500
P  0.000  0.500  0.135
Ir  0.000  0.000  0.000
Ir  0.500  0.500  0.000
Ir  0.000  0.500  0.364
Ir  0.500  0.000  0.636
Ce  0.500  0.000  0.248
Ce  0.000  0.500  0.752
Al  0.500  0.500  0.500

As for the formation energy: -10.0 eV/f.u. The calculation puts the total magnetization at 0.00 Bohr magnetons per cell. The final energy is -7.726 eV per atom.

---

DFT (PBE) results for crystalline Ce3AlP2Ir9 at its relaxed geometry.

Cell: 5.613 5.613 10.437 Å, 90.00 90.00 120.00°
Fractional positions:
Al  0.000  0.000  0.500
Ir  0.000  0.500  0.000
Ir  0.500  0.500  0.000
Ir  0.162  0.838  0.312
Ir  0.323  0.162  0.688
Ir  0.500  0.000  0.000
Ir  0.162  0.323  0.312
Ir  0.838  0.677  0.688
Ir  0.677  0.838  0.312
Ir  0.838  0.162  0.688
P  0.667  0.333  0.839
P  0.333  0.667  0.161
Ce  0.000  0.000  0.000
Ce  0.333  0.667  0.593
Ce  0.667  0.333  0.407

As for the formation energy: -7.7 eV/f.u. The calculation puts the total magnetization at 0.00 Bohr magnetons per cell. The final energy is -7.989 eV per atom.

---

DFT (PBE) results for crystalline Ce2Al4IrPt3 at its relaxed geometry.

Cell: 4.246 4.246 10.429 Å, 90.00 90.00 90.00°
Last column: magnetic moment on the atom in μB.
Fractional positions:
Pt  0.000  0.500  0.135  0.00
Pt  0.000  0.000  0.500  0.00
Pt  0.500  0.000  0.865  0.00
Ce  0.500  0.000  0.253  0.51
Ce  0.000  0.500  0.747  0.51
Ir  0.500  0.500  0.500  0.00
Al  0.500  0.000  0.627  0.00
Al  0.000  0.500  0.373  0.00
Al  0.500  0.500  0.000  0.00
Al  0.000  0.000  0.000  0.00

As for the formation energy: -10.4 eV/f.u. The calculation puts the total magnetization at 1.28 Bohr magnetons per cell. The final energy is -6.426 eV per atom.

---

DFT (PBE) results for crystalline CeAl4IrRh2 at its relaxed geometry.

Cell: 4.217 4.217 9.236 Å, 76.80 76.80 60.00°
Last column: magnetic moment on the atom in μB.
Fractional positions:
Ir  0.500  0.500  0.500  0.01
Rh  0.233  0.233  0.301  0.01
Rh  0.767  0.767  0.699  0.01
Al  0.405  0.405  0.784  0.00
Al  0.595  0.595  0.216  0.00
Al  0.867  0.867  0.399  0.00
Al  0.133  0.133  0.601  0.00
Ce  0.000  0.000  0.000  0.72

As for the formation energy: -6.6 eV/f.u. The calculation puts the total magnetization at 0.92 Bohr magnetons per cell. The final energy is -6.385 eV per atom.

---

- The lowest final energy belongs to which entry?
  Ce3AlP2Ir9

---

Please write out number 5 again, unchanged.
DFT (PBE) results for crystalline Ce2Al4IrPt3 at its relaxed geometry.

Cell: 4.246 4.246 10.429 Å, 90.00 90.00 90.00°
Last column: magnetic moment on the atom in μB.
Fractional positions:
Pt  0.000  0.500  0.135  0.00
Pt  0.000  0.000  0.500  0.00
Pt  0.500  0.000  0.865  0.00
Ce  0.500  0.000  0.253  0.51
Ce  0.000  0.500  0.747  0.51
Ir  0.500  0.500  0.500  0.00
Al  0.500  0.000  0.627  0.00
Al  0.000  0.500  0.373  0.00
Al  0.500  0.500  0.000  0.00
Al  0.000  0.000  0.000  0.00

As for the formation energy: -10.4 eV/f.u. The calculation puts the total magnetization at 1.28 Bohr magnetons per cell. The final energy is -6.426 eV per atom.

---

- The highest total magnetization belongs to which entry?
  Ce2Al6IrOs